Ta2HgCl: relaxed, PBE.

**SG**: P4/mmm (123)
**Energy relative to the elements, uncorrected**: 0.88 eV/atom
**Crystal system**: tetragonal

Cell: 4.7353 4.0805 4.0805 Å, 90.00 90.00 90.00°
With the nearest neighbours (Å) after each atom.
Atoms (fractional coordinates):
Cl (0.5000, 0.5000, 0.0000)  4 Hg 2.89, 8 Ta 3.13
Hg (0.5000, 0.0000, 0.5000)  4 Cl 2.89, 8 Ta 3.13
Ta (0.0000, 0.0000, 0.0000)  4 Ta 2.89, 4 Hg 3.13, 4 Cl 3.13
Ta (0.0000, 0.5000, 0.5000)  4 Ta 2.89, 4 Hg 3.13, 4 Cl 3.13